# 1
The following is a DFT calculation (PBE) of a relaxed structure of H2IrO.

Unit cell a=4.8157 b=4.8157 c=4.8157 alpha=90.00 beta=90.00 gamma=90.00
Closest atoms and distances in Å follow each position.
Space group Fm-3m (No. 225)
Inequivalent atoms, fractional coordinates:
H 0.2500 0.2500 0.2500 [8 per cell]  4 O 2.09, 4 Ir 2.09
Ir 0.0000 0.0000 0.0000 [4 per cell]  8 H 2.09
O 0.0000 0.0000 0.5000 [4 per cell]  8 H 2.09

Summary:
Offset from the most stable computed form: 453 meV/atom
Crystal system: cubic
Mass density: 12.504 g/cm3



# 2
The following is a DFT calculation (PBE) of a relaxed structure of LaPrHg.

Unit cell a=5.2544 b=5.2544 c=3.8326 alpha=90.00 beta=90.00 gamma=120.00
Closest atoms and distances in Å follow each position.
Space group P3m1 (No. 156)
Inequivalent atoms, fractional coordinates:
La 0.0000 0.0000 0.0000 [1 per cell]  3 Hg 3.30, 3 Pr 3.37
Pr 0.6667 0.3333 0.3835 [1 per cell]  3 Hg 3.22, 3 La 3.37
Hg 0.3333 0.6667 0.6624 [1 per cell]  3 Pr 3.22, 3 La 3.30

Summary:
Offset from the most stable computed form: 100 meV/atom
Crystal system: trigonal
Mass density: 8.705 g/cm3



# 3
The following is a DFT calculation (PBE) of a relaxed structure of Li2CaZn2.

Unit cell a=4.1283 b=4.1283 c=12.4548 alpha=90.00 beta=90.00 gamma=90.00
Closest atoms and distances in Å follow each position.
Space group I4/mmm (No. 139)
Inequivalent atoms, fractional coordinates:
Li 0.0000 0.5000 0.2500 [4 per cell]  4 Zn 2.76, 4 Li 2.92
Ca 0.0000 0.0000 0.0000 [2 per cell]  8 Zn 3.19
Zn 0.0000 0.0000 0.3975 [4 per cell]  1 Zn 2.55, 4 Li 2.76

Summary:
Offset from the most stable computed form: 16 meV/atom
Crystal system: tetragonal
Mass density: 2.891 g/cm3



# 4
The following is a DFT calculation (PBE) of a relaxed structure of LaEr2Ag3.

Unit cell a=3.6377 b=3.6377 c=11.2376 alpha=90.00 beta=90.00 gamma=90.00
Closest atoms and distances in Å follow each position.
Space group P4/mmm (No. 123)
Inequivalent atoms, fractional coordinates:
La 0.0000 0.0000 0.0000 [1 per cell]  8 Ag 3.34, 4 La 3.64
Er 0.0000 0.0000 0.3405 [2 per cell]  8 Ag 3.08-3.14
Ag 0.5000 0.5000 0.1902 [2 per cell]  4 Er 3.08, 4 La 3.34
Ag 0.5000 0.5000 0.5000 [1 per cell]  8 Er 3.14, 2 Ag 3.48

Summary:
Crystal system: tetragonal
Mass density: 8.900 g/cm3
Total DFT energy (no corrections): -4.079 eV/atom



# 5
The following is a DFT calculation (PBE) of a relaxed structure of Y2Zn5Ge.

Unit cell a=4.2847 b=15.8802 c=8.8333 alpha=90.00 beta=90.00 gamma=90.00
Closest atoms and distances in Å follow each position.
Space group Cmcm (No. 63)
Inequivalent atoms, fractional coordinates:
Y 0.0000 0.0000 0.0000 [4 per cell]  10 Zn 3.13-3.48, 4 Ge 3.19
Y 0.0000 0.1988 0.2500 [4 per cell]  11 Zn 3.03-3.16, 2 Ge 3.16
Zn 0.0000 0.1878 0.6069 [8 per cell]  4 Zn 2.51-2.68
Zn 0.0000 0.3498 0.5238 [8 per cell]  4 Zn 2.51-2.68, 1 Ge 2.53
Zn 0.0000 0.3973 0.2500 [4 per cell]  1 Ge 2.47, 2 Zn 2.53
Ge 0.0000 0.4473 0.7500 [4 per cell]  3 Zn 2.47-2.53

Summary:
Crystal system: orthorhombic
Mass density: 6.382 g/cm3
Total DFT energy (no corrections): -3.453 eV/atom



# 6
The following is a DFT calculation (PBE) of a relaxed structure of BaScPb.

Unit cell a=3.7355 b=3.7355 c=8.5271 alpha=90.00 beta=90.00 gamma=120.00
Closest atoms and distances in Å follow each position.
Space group P3m1 (No. 156)
Inequivalent atoms, fractional coordinates:
Ba 0.0000 0.0000 0.0000 [1 per cell]  3 Pb 3.65, 6 Ba 3.74, 3 Sc 3.91
Sc 0.6667 0.3333 0.6180 [1 per cell]  3 Pb 3.17
Pb 0.3333 0.6667 0.3459 [1 per cell]  3 Sc 3.17

Summary:
Offset from the most stable computed form: 493 meV/atom
Crystal system: trigonal
Mass density: 6.277 g/cm3



# 7
The following is a DFT calculation (PBE) of a relaxed structure of BaGaH.

Unit cell a=4.5596 b=4.5610 c=9.2034 alpha=101.72 beta=92.36 gamma=119.79
Closest atoms and distances in Å follow each position.
Space group P-1 (No. 2)
Inequivalent atoms, fractional coordinates:
Ba 0.1006 0.1594 0.2646 [2 per cell]  3 H 2.68-2.69
Ga 0.3371 0.6728 0.0099 [2 per cell]  1 H 1.75
H 0.4118 0.7900 0.2067 [2 per cell]  1 Ga 1.75

Summary:
Offset from the most stable computed form: 102 meV/atom
Crystal system: triclinic
Mass density: 4.309 g/cm3



# 8
The following is a DFT calculation (PBE) of a relaxed structure of Re2SbAu.

Unit cell a=3.0141 b=4.8021 c=4.8218 alpha=90.00 beta=90.00 gamma=90.00
Closest atoms and distances in Å follow each position.
Space group Pmmm (No. 47)
Inequivalent atoms, fractional coordinates:
Re 0.0000 0.0000 0.0000 [1 per cell]  4 Au 2.83, 6 Re 2.84-3.01
Re 0.5000 0.0000 0.5000 [1 per cell]  4 Sb 2.83, 6 Re 2.84-3.01
Sb 0.0000 0.5000 0.5000 [1 per cell]  4 Re 2.83, 4 Au 2.84, 2 Sb 3.01
Au 0.5000 0.5000 0.0000 [1 per cell]  4 Re 2.83, 4 Sb 2.84, 2 Au 3.01

Summary:
Crystal system: orthorhombic
Mass density: 16.444 g/cm3
Uncorrected formation energy: 0.807 eV/atom



# 9
The following is a DFT calculation (PBE) of a relaxed structure of Pa2InRe.

Unit cell a=4.7636 b=4.7636 c=14.4761 alpha=90.00 beta=90.00 gamma=120.00
Closest atoms and distances in Å follow each position.
Space group R-3m (No. 166, hexagonal axes)
Inequivalent atoms, fractional coordinates:
Pa 0.0000 0.0000 0.2380 [6 per cell]  3 Re 2.94, 3 In 3.08
In 0.0000 0.0000 0.0000 [3 per cell]  8 Pa 3.08-3.44
Re 0.0000 0.0000 0.5000 [3 per cell]  6 Pa 2.94

Summary:
Offset from the most stable computed form: 380 meV/atom
Crystal system: trigonal
Mass density: 13.363 g/cm3



# 10
The following is a DFT calculation (PBE) of a relaxed structure of Na3VSn.

Unit cell a=5.5425 b=5.5425 c=5.5425 alpha=90.00 beta=90.00 gamma=90.00
Closest atoms and distances in Å follow each position.
Space group Pm-3m (No. 221)
Inequivalent atoms, fractional coordinates:
Na 0.0000 0.0000 0.5000 [3 per cell]  2 V 2.77
V 0.0000 0.0000 0.0000 [1 per cell]  6 Na 2.77
Sn 0.5000 0.5000 0.5000 [1 per cell]  12 Na 3.92

Summary:
Offset from the most stable computed form: 101 meV/atom
Crystal system: cubic
Mass density: 2.327 g/cm3



# 11
The following is a DFT calculation (PBE) of a relaxed structure of YScTl2.

Unit cell a=3.7999 b=5.6998 c=10.2762 alpha=90.00 beta=90.00 gamma=90.00
Closest atoms and distances in Å follow each position.
Space group Cmm2 (No. 35)
Inequivalent atoms, fractional coordinates:
Y 0.0000 0.0000 0.0000 [2 per cell]  2 Sc 3.20, 2 Tl 3.28, 4 Y 3.43
Sc 0.0000 0.5000 0.7496 [2 per cell]  2 Tl 3.12, 2 Y 3.20, 4 Sc 3.43
Tl 0.0000 0.0000 0.5091 [2 per cell]  2 Sc 3.12, 6 Tl 3.18-3.43
Tl 0.0000 0.5000 0.2605 [2 per cell]  6 Tl 3.18-3.43, 2 Y 3.28

Summary:
Crystal system: orthorhombic
Mass density: 8.097 g/cm3
Total DFT energy (no corrections): -4.405 eV/atom



# 12
The following is a DFT calculation (PBE) of a relaxed structure of Bi2TeO.

Unit cell a=5.7699 b=5.7699 c=14.6258 alpha=90.00 beta=90.00 gamma=90.00
Closest atoms and distances in Å follow each position.
Space group I-42d (No. 122)
Inequivalent atoms, fractional coordinates:
Bi 0.1180 0.2500 0.1250 [8 per cell]  2 O 2.43
Te 0.0000 0.0000 0.5000 [4 per cell]  4 Bi 3.21
O 0.0000 0.0000 0.0000 [4 per cell]  4 Bi 2.43

Summary:
Offset from the most stable computed form: 162 meV/atom
Crystal system: tetragonal
Mass density: 7.660 g/cm3
Uncorrected formation energy: -0.285 eV/atom



# 13
The following is a DFT calculation (PBE) of a relaxed structure of NpTl2HgBr6.

Unit cell a=8.2195 b=8.2195 c=22.5169 alpha=90.00 beta=90.00 gamma=120.00
Closest atoms and distances in Å follow each position.
Space group R3 (No. 146, hexagonal axes)
Inequivalent atoms, fractional coordinates:
Np 0.0000 0.0000 0.0000 [3 per cell]  6 Br 2.78-2.79
Tl 0.0000 0.0000 0.1878 [3 per cell]  6 Br 3.37-3.40
Tl 0.0000 0.0000 0.6610 [3 per cell]  6 Br 3.37-3.39, 1 Hg 3.77
Hg 0.0000 0.0000 0.4938 [3 per cell]  6 Br 3.77-3.85, 1 Tl 3.77
Br 0.0145 0.2860 0.9303 [9 per cell]  1 Np 2.78
Br 0.0799 0.7000 0.7406 [9 per cell]  1 Np 2.79

Summary:
Crystal system: trigonal
Mass density: 5.013 g/cm3
Uncorrected formation energy: -0.975 eV/atom



# 14
The following is a DFT calculation (PBE) of a relaxed structure of Zr2SeCl.

Unit cell a=3.2708 b=6.0303 c=8.7013 alpha=90.00 beta=90.00 gamma=90.00
Closest atoms and distances in Å follow each position.
Space group Cmmm (No. 65)
Inequivalent atoms, fractional coordinates:
Zr 0.0000 0.0000 0.2428 [4 per cell]  2 Se 2.67, 2 Cl 2.77
Se 0.0000 0.5000 0.0000 [2 per cell]  4 Zr 2.67
Cl 0.0000 0.5000 0.5000 [2 per cell]  4 Zr 2.77

Summary:
Offset from the most stable computed form: 324 meV/atom
Crystal system: orthorhombic
Mass density: 5.744 g/cm3
Uncorrected formation energy: -0.654 eV/atom



# 15
The following is a DFT calculation (PBE) of a relaxed structure of Ac2Tc2O7.

Unit cell a=6.9031 b=10.8674 c=5.4337 alpha=90.00 beta=100.68 gamma=90.00
Closest atoms and distances in Å follow each position.
Space group C2/m (No. 12)
Inequivalent atoms, fractional coordinates:
Ac 0.0000 0.1844 0.0000 [4 per cell]  6 O 2.44-2.55
Tc 0.2477 0.5000 0.3920 [4 per cell]  4 O 1.91-1.96
O 0.0000 0.5000 0.5000 [2 per cell]  2 Tc 1.91
O 0.0604 0.0000 0.2933 [4 per cell]  1 Tc 1.96
O 0.2124 0.3451 0.2166 [8 per cell]  1 Tc 1.93

Summary:
Offset from the most stable computed form: 184 meV/atom
Crystal system: monoclinic
Mass density: 6.318 g/cm3
Uncorrected formation energy: -2.082 eV/atom



# 16
The following is a DFT calculation (PBE) of a relaxed structure of PrLuCo4.

Unit cell a=7.2205 b=7.2205 c=7.2205 alpha=90.00 beta=90.00 gamma=90.00
Closest atoms and distances in Å follow each position.
Space group F-43m (No. 216)
Inequivalent atoms, fractional coordinates:
Pr 0.0000 0.0000 0.0000 [4 per cell]  12 Co 3.00, 4 Lu 3.13
Lu 0.2500 0.2500 0.7500 [4 per cell]  12 Co 2.99, 4 Pr 3.13
Co 0.1241 0.1241 0.3759 [16 per cell]  6 Co 2.53-2.57

Summary:
Crystal system: cubic
Mass density: 9.733 g/cm3
Total DFT energy (no corrections): -6.412 eV/atom



# 17
The following is a DFT calculation (PBE) of a relaxed structure of ZrReP.

Unit cell a=3.0800 b=3.0800 c=10.2851 alpha=90.00 beta=90.00 gamma=90.00
Closest atoms and distances in Å follow each position.
Space group I4mm (No. 107)
Inequivalent atoms, fractional coordinates:
Zr 0.0000 0.0000 0.0000 [2 per cell]  5 P 2.96-3.14, 5 Re 2.98-3.11, 4 Zr 3.08
Re 0.0000 0.0000 0.6979 [2 per cell]  4 P 2.44
P 0.0000 0.0000 0.3055 [2 per cell]  4 Re 2.44

Summary:
Crystal system: tetragonal
Mass density: 10.498 g/cm3
Total DFT energy (no corrections): -9.245 eV/atom



# 18
The following is a DFT calculation (PBE) of a relaxed structure of CsAcPt2.

Unit cell a=4.4184 b=4.4184 c=24.9536 alpha=90.00 beta=90.00 gamma=120.00
Closest atoms and distances in Å follow each position.
Space group R-3m (No. 166, hexagonal axes)
Inequivalent atoms, fractional coordinates:
Cs 0.0000 0.0000 0.0000 [3 per cell]  6 Pt 3.58
Ac 0.0000 0.0000 0.5000 [3 per cell]  6 Pt 3.04
Pt 0.0000 0.0000 0.2327 [6 per cell]  3 Ac 3.04

Summary:
Crystal system: trigonal
Mass density: 8.857 g/cm3
Total DFT energy (no corrections): -4.780 eV/atom



# 19
The following is a DFT calculation (PBE) of a relaxed structure of TiAgHg2.

Unit cell a=7.6623 b=7.6623 c=5.9780 alpha=90.00 beta=90.00 gamma=90.00
Closest atoms and distances in Å follow each position.
Space group I-42d (No. 122)
Inequivalent atoms, fractional coordinates:
Ti 0.0000 0.0000 0.0000 [4 per cell]  4 Hg 2.80, 2 Ag 2.99
Ag 0.0000 0.0000 0.5000 [4 per cell]  4 Hg 2.82, 2 Ti 2.99
Hg 0.2474 0.2500 0.1250 [8 per cell]  2 Ti 2.80, 2 Ag 2.82, 2 Hg 2.99

Summary:
Crystal system: tetragonal
Mass density: 10.540 g/cm3
Total DFT energy (no corrections): -2.502 eV/atom



# 20
The following is a DFT calculation (PBE) of a relaxed structure of Pm6GaSn.

Unit cell a=4.8812 b=4.8812 c=9.7302 alpha=90.00 beta=90.00 gamma=90.00
Closest atoms and distances in Å follow each position.
Space group P4/mmm (No. 123)
Inequivalent atoms, fractional coordinates:
Pm 0.0000 0.0000 0.0000 [1 per cell]  8 Pm 3.41, 4 Ga 3.45
Pm 0.0000 0.0000 0.5000 [1 per cell]  4 Sn 3.45, 8 Pm 3.48
Pm 0.0000 0.5000 0.2452 [4 per cell]  8 Pm 3.41-3.48, 2 Ga 3.41, 2 Sn 3.48
Ga 0.5000 0.5000 0.0000 [1 per cell]  12 Pm 3.41-3.45
Sn 0.5000 0.5000 0.5000 [1 per cell]  12 Pm 3.45-3.48

Summary:
Crystal system: tetragonal
Mass density: 7.581 g/cm3
Total DFT energy (no corrections): -4.789 eV/atom